Entry 1:
32
Lattice="13.7876 0.0000 0.0000 0.0000 6.8478 0.0000 0.0000 0.0000 5.1256" Properties=species:S:1:pos:R:3 comment="HfPRh2 (PBE-GGA, relaxed)" total_energy_ev_per_atom=-8.517 pbc="T T T"
Hf 1.5520 1.7119 1.1921
Hf 1.8548 5.1358 0.1611
Hf 5.0390 1.7119 2.7239
Hf 5.3418 5.1358 3.7549
Hf 8.4458 1.7119 1.3706
Hf 8.7486 5.1358 2.4017
Hf 11.9327 1.7119 4.9645
Hf 12.2356 5.1358 3.9334
P 0.9262 5.1358 2.7192
P 2.5250 1.7119 3.8224
P 4.3688 5.1358 1.2596
P 5.9676 1.7119 0.1564
P 7.8200 5.1358 4.9692
P 9.4188 1.7119 3.8660
P 11.2626 5.1358 1.3032
P 12.8614 1.7119 2.4064
Rh 0.4723 0.3229 3.8607
Rh 0.4723 3.1010 3.8607
Rh 2.9620 3.7588 2.7224
Rh 2.9620 6.5128 2.7224
Rh 3.9318 0.3349 0.1596
Rh 3.9318 3.0890 0.1596
Rh 6.4215 3.7467 1.2979
Rh 6.4215 6.5249 1.2979
Rh 7.3660 0.3229 3.8277
Rh 7.3660 3.1010 3.8277
Rh 9.8557 3.7588 4.9660
Rh 9.8557 6.5128 4.9660
Rh 10.8256 0.3349 2.4032
Rh 10.8256 3.0890 2.4032
Rh 13.3153 3.7467 1.2649
Rh 13.3153 6.5249 1.2649

***

Entry 2:
8
Lattice="-1.9903 1.9903 8.4008 1.9903 -1.9903 8.4008 1.9903 1.9903 -8.4008" Properties=species:S:1:pos:R:3 comment="HfPRh2 (PBE-GGA, relaxed)" total_energy_ev_per_atom=-8.055 pbc="T T T"
Hf 0.0000 0.0000 0.0000
Hf 0.0000 1.9903 4.2004
P 1.9903 0.0000 4.2004
P 0.0000 0.0000 8.4008
Rh 0.9951 -0.8749 6.3006
Rh 1.1154 0.9951 2.1002
Rh 0.9951 2.8652 -2.1002
Rh 0.8749 0.9951 10.5011

***

Entry 3:
5
Lattice="4.9444 0.0000 0.0000 0.0000 4.9444 0.0000 0.0000 0.0000 4.7848" Properties=species:S:1:pos:R:3 comment="HfP2RhS (PBE-GGA, relaxed)" de_polymorph_mev_per_atom=292 pbc="T T T"
Hf 0.0000 0.0000 0.0000
P 0.0000 2.4722 0.0000
P 2.4722 0.0000 0.0000
Rh 2.4722 2.4722 2.3924
S 0.0000 0.0000 2.3924

***

Entry 4:
5
Lattice="4.4806 0.0000 0.0000 0.0000 4.4806 0.0000 0.0000 0.0000 4.7497" Properties=species:S:1:pos:R:3 comment="HfP2RhS (PBE-GGA, relaxed)" de_polymorph_mev_per_atom=0 pbc="T T T"
Hf 0.0000 0.0000 0.0000
P 0.0000 2.2403 2.3749
P 2.2403 0.0000 2.3749
Rh 2.2403 2.2403 2.3749
S 2.2403 2.2403 0.0000

***

Entry 5:
18
Lattice="4.4528 2.5708 4.3203 -4.4528 2.5708 4.3203 0.0000 -5.1416 4.3203" Properties=species:S:1:pos:R:3 comment="Sm2HfP3Rh12 (PBE-GGA, relaxed)" total_energy_ev_per_atom=-7.226 pbc="T T T"
Sm 0.0000 0.0000 1.6146
Sm 0.0000 0.0000 11.3464
Hf 0.0000 0.0000 6.4805
P -2.2264 -1.2854 4.3203
P -2.2264 1.2854 8.6407
P 0.0000 2.5708 4.3203
Rh 0.0000 -2.3138 3.7146
Rh -2.0038 1.1569 3.7146
Rh -2.2580 -1.3037 6.5657
Rh 0.0000 -2.6074 6.3953
Rh -2.2580 1.3037 6.3953
Rh -2.0038 -1.1569 9.2464
Rh 2.0038 1.1569 3.7146
Rh 2.2580 -1.3037 6.5657
Rh 0.0000 2.6074 6.5657
Rh 2.2580 1.3037 6.3953
Rh 2.0038 -1.1569 9.2464
Rh 0.0000 2.3138 9.2464

***

Entry 6:
5
Lattice="4.8032 0.0000 0.0000 0.0000 4.8032 0.0000 0.0000 0.0000 4.2983" Properties=species:S:1:pos:R:3 comment="Hf2TaPRh (PBE-GGA, relaxed)" total_energy_ev_per_atom=-8.895 pbc="T T T"
Hf 0.0000 2.4016 0.0000
Hf 2.4016 0.0000 0.0000
Ta 0.0000 0.0000 2.1492
P 2.4016 2.4016 0.0000
Rh 2.4016 2.4016 2.1492

***

Entry 7:
9
Lattice="4.0292 0.0000 0.0000 0.0000 4.0292 0.0000 0.0000 0.0000 10.2873" Properties=species:S:1:pos:R:3 comment="TbHfP2Rh5 (PBE-GGA, relaxed)" total_energy_ev_per_atom=-7.694 pbc="T T T"
Tb 0.0000 0.0000 0.0000
Hf 0.0000 0.0000 5.1436
P 2.0146 2.0146 2.2586
P 2.0146 2.0146 8.0287
Rh 0.0000 2.0146 3.3037
Rh 0.0000 2.0146 6.9836
Rh 2.0146 0.0000 3.3037
Rh 2.0146 0.0000 6.9836
Rh 2.0146 2.0146 0.0000

***

Entry 8:
18
Lattice="4.4347 2.5604 4.3025 -4.4347 2.5604 4.3025 0.0000 -5.1207 4.3025" Properties=species:S:1:pos:R:3 comment="Tb2HfP3Rh12 (PBE-GGA, relaxed)" total_energy_ev_per_atom=-7.253 pbc="T T T"
Tb 0.0000 0.0000 1.6208
Tb 0.0000 0.0000 11.2865
Hf 0.0000 0.0000 6.4537
P -2.2173 -1.2802 4.3025
P -2.2173 1.2802 8.6049
P 0.0000 2.5604 4.3025
Rh 0.0000 -2.3291 3.6860
Rh -2.0170 1.1645 3.6860
Rh -2.2585 -1.3040 6.5458
Rh 0.0000 -2.6079 6.3616
Rh -2.2585 1.3040 6.3616
Rh -2.0170 -1.1645 9.2214
Rh 2.0170 1.1645 3.6860
Rh 2.2585 -1.3040 6.5458
Rh 0.0000 2.6079 6.5458
Rh 2.2585 1.3040 6.3616
Rh 2.0171 -1.1645 9.2214
Rh 0.0000 2.3291 9.2214

***

Entry 9:
9
Lattice="4.0763 0.0000 0.0000 0.0000 4.0763 0.0000 0.0000 0.0000 10.1530" Properties=species:S:1:pos:R:3 comment="HfThP2Rh5 (PBE-GGA, relaxed)" total_energy_ev_per_atom=-8.028 pbc="T T T"
Hf 0.0000 0.0000 0.0000
Th 0.0000 0.0000 5.0765
P 2.0381 2.0381 2.7910
P 2.0381 2.0381 7.3619
Rh 0.0000 2.0381 1.8082
Rh 0.0000 2.0381 8.3448
Rh 2.0381 0.0000 1.8082
Rh 2.0381 0.0000 8.3448
Rh 2.0381 2.0381 5.0765

***

Entry 10:
10
Lattice="4.0516 0.0000 0.0000 0.0000 4.0516 0.0000 0.0000 0.0000 10.8722" Properties=species:S:1:pos:R:3 comment="HfTh2P3Rh4 (PBE-GGA, relaxed)" total_energy_ev_per_atom=-8.133 pbc="T T T"
Hf 0.0000 0.0000 0.0000
Th 0.0000 2.0258 7.8971
Th 2.0258 0.0000 2.9751
P 0.0000 2.0258 4.0072
P 2.0258 0.0000 6.8650
P 2.0258 2.0258 0.0000
Rh 0.0000 0.0000 5.4361
Rh 0.0000 2.0258 1.6292
Rh 2.0258 0.0000 9.2430
Rh 2.0258 2.0258 5.4361

***

Entry 11:
18
Lattice="4.2788 2.4703 4.9627 -4.2788 2.4703 4.9627 0.0000 -4.9407 4.9627" Properties=species:S:1:pos:R:3 comment="HfTh2P3Rh12 (PBE-GGA, relaxed)" total_energy_ev_per_atom=-7.622 pbc="T T T"
Hf 0.0000 0.0000 0.0000
Th 0.0000 0.0000 5.8167
Th 0.0000 0.0000 9.0715
P -4.2787 0.0000 7.4441
P -2.1394 1.2352 2.4814
P 2.1394 1.2352 2.4814
Rh -2.4814 -1.4326 7.1446
Rh 0.0000 -2.3221 4.6978
Rh -2.0110 1.1610 4.6978
Rh 0.0000 -2.8653 7.7436
Rh -2.4814 1.4326 7.7436
Rh -2.0110 -1.1610 10.1904
Rh 2.0110 1.1610 4.6978
Rh 2.4814 -1.4326 7.1446
Rh 0.0000 2.8652 7.1446
Rh 2.0110 -1.1610 10.1904
Rh 0.0000 2.3221 10.1904
Rh 2.4814 1.4326 7.7436

***

Entry 12:
9
Lattice="4.0069 0.0000 0.0000 0.0000 4.0069 0.0000 0.0000 0.0000 10.3416" Properties=species:S:1:pos:R:3 comment="TmHfP2Rh5 (PBE-GGA, relaxed)" total_energy_ev_per_atom=-7.657 pbc="T T T"
Tm 0.0000 0.0000 0.0000
Hf 0.0000 0.0000 5.1708
P 2.0035 2.0035 2.2573
P 2.0035 2.0035 8.0844
Rh 0.0000 2.0035 3.3214
Rh 0.0000 2.0035 7.0203
Rh 2.0035 0.0000 3.3214
Rh 2.0035 0.0000 7.0203
Rh 2.0035 2.0035 0.0000

***

no.,volume (Å³/cell),magnetization (μB per atom)
1,483.9,0.000
2,133.1,0.000
3,117.0,0.204
4,95.4,0.000
5,296.7,0.000
6,99.2,0.000
7,167.0,0.000
8,293.1,0.000
9,168.7,0.000
10,178.5,0.000
11,314.7,0.000
12,166.0,0.000